[1]
20
Lattice="-4.292 4.292 4.292 4.292 -4.292 4.292 4.292 4.292 -4.292" Properties=species:S:1:pos:R:3 comment="K4Pa3TiO12 | the Alexandria database | PBE | relaxed" total_energy_ev_per_atom=-7.88 dos_at_fermi_per_ev_atom=0.655 pbc="T T T"
K 2.146 2.146 -2.146
K 2.146 -2.146 2.146
K -2.146 2.146 2.146
K 2.146 2.146 2.146
Pa 4.292 0.000 0.000
Pa 0.000 4.292 0.000
Pa 0.000 0.000 4.292
Ti 0.000 0.000 0.000
O 2.043 0.000 0.000
O 6.542 0.000 0.000
O 0.000 2.043 0.000
O 0.000 0.000 2.043
O 4.292 2.146 0.000
O 4.292 0.000 2.146
O 2.146 4.292 0.000
O 2.146 0.000 4.292
O 0.000 4.292 2.146
O 0.000 2.146 4.292
O 0.000 6.542 0.000
O 0.000 0.000 6.542

---

[2]
10
Lattice="0.000 4.169 4.169 4.169 0.000 4.169 4.169 4.169 0.000" Properties=species:S:1:pos:R:3 comment="K2PaTiO6 | the Alexandria database | PBE | relaxed" total_energy_ev_per_atom=-7.61 dos_at_fermi_per_ev_atom=0.587 pbc="T T T"
K 2.084 2.084 2.084
K 6.253 6.253 6.253
Pa 0.000 0.000 0.000
Ti 4.169 4.169 4.169
O 4.169 4.169 2.178
O 4.169 2.178 4.169
O 6.160 4.169 4.169
O 2.178 4.169 4.169
O 4.169 6.160 4.169
O 4.169 4.169 6.160

---

[3]
20
Lattice="5.631 -4.720 0.000 5.631 4.720 0.000 -0.326 0.000 5.999" Properties=species:S:1:pos:R:3 comment="KPaTl2O6 | the Alexandria database | PBE | relaxed" total_energy_ev_per_atom=-6.25 pbc="T T T"
K 5.387 4.342 4.499
K 5.550 -4.342 1.500
Pa 5.550 1.445 1.500
Pa 5.387 -1.445 4.499
Tl 3.000 1.608 4.453
Tl 3.163 -1.608 1.454
Tl 7.773 1.608 4.545
Tl 7.936 -1.608 1.546
O 4.043 2.838 2.840
O 4.287 2.691 0.202
O 7.056 2.838 0.159
O 6.813 2.691 2.797
O 4.075 0.004 5.471
O 4.238 -0.004 2.472
O 6.699 0.004 3.527
O 6.862 -0.004 0.528
O 4.124 -2.691 3.201
O 3.880 -2.838 5.840
O 6.650 -2.691 5.797
O 6.893 -2.838 3.158

---

[4]
12
Lattice="5.311 0.000 0.000 0.000 7.266 0.000 -0.301 0.000 5.315" Properties=species:S:1:pos:R:3 comment="KPa2TlO8 | the Alexandria database | PBE | relaxed" total_energy_ev_per_atom=-7.41 dos_at_fermi_per_ev_atom=0.776 pbc="T T T"
K 0.000 0.000 0.000
Pa 2.505 1.792 2.657
Pa 2.505 5.473 2.657
Tl 0.000 3.633 0.000
O 1.104 2.073 1.176
O 1.104 5.192 1.176
O 1.496 3.633 3.617
O 1.585 0.000 3.529
O 3.426 0.000 1.785
O 3.515 3.633 1.698
O 3.907 2.073 4.139
O 3.907 5.192 4.139

---

[5]
12
Lattice="6.331 0.000 0.000 -3.165 5.483 0.000 0.000 0.000 7.161" Properties=species:S:1:pos:R:3 comment="K3PaTl2O6 | the Alexandria database | PBE | relaxed" total_energy_ev_per_atom=-5.74 dos_at_fermi_per_ev_atom=0.200 pbc="T T T"
K 0.000 0.000 0.000
K 0.000 3.655 4.537
K 3.165 1.828 2.624
Pa 0.000 0.000 3.580
Tl 0.000 3.655 1.155
Tl 3.165 1.828 6.006
O 0.000 1.735 2.304
O -1.663 4.615 2.304
O 1.503 0.868 4.856
O 1.663 4.615 2.304
O 4.828 0.868 4.856
O 3.165 3.748 4.856

---

[6]
12
Lattice="11.135 -2.194 0.000 11.135 2.194 0.000 -0.071 0.000 4.374" Properties=species:S:1:pos:R:3 comment="KPa2Tl2O7 | the Alexandria database | PBE | relaxed" total_energy_ev_per_atom=-7.45 dos_at_fermi_per_ev_atom=0.171 pbc="T T T"
K 0.000 0.000 0.000
Pa 8.915 0.000 2.153
Pa 13.284 0.000 2.220
Tl 4.743 0.000 0.902
Tl 17.456 0.000 3.472
O 2.165 0.000 2.158
O 6.717 0.000 2.240
O 8.985 0.000 4.360
O 11.100 0.000 2.187
O 13.214 0.000 0.014
O 15.482 0.000 2.133
O 20.035 0.000 2.216

---

[7]
20
Lattice="-4.372 4.372 4.372 4.372 -4.372 4.372 4.372 4.372 -4.372" Properties=species:S:1:pos:R:3 comment="K4TmPa3O12 | the Alexandria database | PBE | relaxed" total_energy_ev_per_atom=-7.71 dos_at_fermi_per_ev_atom=1.040 pbc="T T T"
K 2.186 2.186 -2.186
K 2.186 -2.186 2.186
K -2.186 2.186 2.186
K 2.186 2.186 2.186
Tm 0.000 0.000 0.000
Pa 4.372 0.000 0.000
Pa 0.000 4.372 0.000
Pa 0.000 0.000 4.372
O 2.258 0.000 0.000
O 6.486 0.000 0.000
O 4.372 2.186 0.000
O 4.372 0.000 2.186
O 0.000 2.258 0.000
O 0.000 0.000 2.258
O 2.186 4.372 0.000
O 2.186 0.000 4.372
O 0.000 6.486 0.000
O 0.000 0.000 6.486
O 0.000 4.372 2.186
O 0.000 2.186 4.372

---

[8]
18
Lattice="4.117 2.377 6.432 -4.117 2.377 6.432 0.000 -4.754 6.432" Properties=species:S:1:pos:R:3 comment="K2TmPa3O12 | the Alexandria database | PBE | relaxed" total_energy_ev_per_atom=-7.95 dos_at_fermi_per_ev_atom=0.882 pbc="T T T"
K 0.000 0.000 3.434
K 0.000 0.000 15.860
Tm 0.000 0.000 9.647
Pa -2.059 -1.189 6.432
Pa -2.059 1.189 12.863
Pa 0.000 2.377 6.432
O -1.596 -0.922 8.407
O 0.000 -1.683 5.926
O -1.457 0.841 5.926
O 0.000 -1.843 10.888
O -1.596 0.922 10.888
O -1.457 -0.841 13.369
O 1.457 0.841 5.926
O 1.596 -0.922 8.407
O 0.000 1.843 8.407
O 1.457 -0.841 13.369
O 0.000 1.683 13.369
O 1.596 0.922 10.888

---

[9]
9
Lattice="4.251 0.000 0.000 0.000 4.251 0.000 0.000 0.000 8.785" Properties=species:S:1:pos:R:3 comment="K2TmPaO5 | the Alexandria database | PBE | relaxed" total_energy_ev_per_atom=-7.17 pbc="T T T"
K 0.000 0.000 1.939
K 0.000 0.000 6.846
Tm 2.125 2.125 4.393
Pa 2.125 2.125 0.000
O 0.000 0.000 4.393
O 0.000 2.125 0.000
O 2.125 0.000 0.000
O 2.125 2.125 2.250
O 2.125 2.125 6.535

---

[10]
12
Lattice="5.679 0.000 0.000 0.000 7.132 0.000 -0.211 0.000 5.711" Properties=species:S:1:pos:R:3 comment="K2UPaO8 | the Alexandria database | PBE | relaxed" total_energy_ev_per_atom=-7.54 dos_at_fermi_per_ev_atom=0.612 pbc="T T T"
K 0.000 1.765 0.000
K 0.000 5.367 0.000
U 2.734 0.000 2.855
Pa 2.734 3.566 2.855
O 1.383 3.566 1.485
O 1.412 0.000 1.519
O 1.797 1.725 3.784
O 1.797 5.407 3.784
O 3.670 1.725 1.927
O 3.670 5.407 1.927
O 4.055 0.000 4.192
O 4.085 3.566 4.225

---

[11]
20
Lattice="-4.370 4.370 4.370 4.370 -4.370 4.370 4.370 4.370 -4.370" Properties=species:S:1:pos:R:3 comment="K4UPa3O12 | the Alexandria database | PBE | relaxed" total_energy_ev_per_atom=-8.27 pbc="T T T"
K 2.185 2.185 -2.185
K 2.185 -2.185 2.185
K -2.185 2.185 2.185
K 2.185 2.185 2.185
U 0.000 0.000 0.000
Pa 4.370 0.000 0.000
Pa 0.000 4.370 0.000
Pa 0.000 0.000 4.370
O 2.172 0.000 0.000
O 6.568 0.000 0.000
O 0.000 2.172 0.000
O 0.000 0.000 2.172
O 4.370 2.185 0.000
O 4.370 0.000 2.185
O 2.185 4.370 0.000
O 2.185 0.000 4.370
O 0.000 4.370 2.185
O 0.000 2.185 4.370
O 0.000 6.568 0.000
O 0.000 0.000 6.568

---

[12]
15
Lattice="6.150 0.000 0.000 -3.075 5.326 0.000 0.000 0.000 7.532" Properties=species:S:1:pos:R:3 comment="K3U2PaO9 | the Alexandria database | PBE | relaxed" total_energy_ev_per_atom=-8.33 pbc="T T T"
K 0.000 0.000 0.000
K 0.000 3.551 5.036
K 3.075 1.775 2.496
U 0.000 3.551 1.246
U 3.075 1.775 6.286
Pa 0.000 0.000 3.766
O -1.537 2.663 0.000
O 0.000 1.786 2.500
O -1.529 4.433 2.500
O 1.546 0.893 5.032
O 3.075 0.000 0.000
O 1.537 2.663 0.000
O 1.529 4.433 2.500
O 4.604 0.893 5.032
O 3.075 3.540 5.032

---

[13]
18
Lattice="3.999 2.309 6.526 -3.999 2.309 6.526 0.000 -4.618 6.526" Properties=species:S:1:pos:R:3 comment="K2U3PaO12 | the Alexandria database | PBE | relaxed" total_energy_ev_per_atom=-8.90 dos_at_fermi_per_ev_atom=0.473 pbc="T T T"
K 0.000 0.000 3.452
K 0.000 0.000 16.127
U -2.000 -1.154 6.526
U -2.000 1.154 13.053
U 0.000 2.309 6.526
Pa 0.000 0.000 9.790
O -1.564 -0.903 8.559
O 0.000 -1.690 6.081
O -1.464 0.845 6.081
O 0.000 -1.806 11.020
O -1.564 0.903 11.020
O -1.464 -0.845 13.498
O 1.464 0.845 6.081
O 1.564 -0.903 8.559
O 0.000 1.806 8.559
O 1.464 -0.845 13.498
O 0.000 1.690 13.498
O 1.564 0.903 11.020

---

[14]
18
Lattice="4.007 2.313 6.616 -4.007 2.313 6.616 0.000 -4.627 6.616" Properties=species:S:1:pos:R:3 comment="K2UPa3O12 | the Alexandria database | PBE | relaxed" total_energy_ev_per_atom=-8.69 dos_at_fermi_per_ev_atom=0.876 pbc="T T T"
K 0.000 0.000 1.967
K 0.000 0.000 17.881
U 0.000 0.000 9.924
Pa -2.004 -1.157 6.616
Pa -2.004 1.157 13.232
Pa 0.000 2.313 6.616
O 0.000 -1.829 6.169
O -1.584 0.914 6.169
O -1.475 -0.852 8.726
O -1.584 -0.914 13.679
O 0.000 -1.703 11.122
O -1.475 0.852 11.122
O 1.475 -0.852 8.726
O 0.000 1.703 8.726
O 1.584 0.914 6.169
O 1.475 0.852 11.122
O 1.584 -0.914 13.679
O 0.000 1.829 13.679

---

[15]
10
Lattice="0.000 4.357 4.357 4.357 0.000 4.357 4.357 4.357 0.000" Properties=species:S:1:pos:R:3 comment="K2UPaO6 | the Alexandria database | PBE | relaxed" total_energy_ev_per_atom=-8.30 pbc="T T T"
K 2.179 2.179 2.179
K 6.536 6.536 6.536
U 0.000 0.000 0.000
Pa 4.357 4.357 4.357
O 4.357 4.357 2.168
O 4.357 2.168 4.357
O 6.546 4.357 4.357
O 2.168 4.357 4.357
O 4.357 6.546 4.357
O 4.357 4.357 6.546